[1]
A relaxed structure of SnHgIO2, computed with PBE-GGA.

Cell lengths 4.134, 4.134, 6.579 Å; angles 90.00, 90.00, 90.00 degrees
Fractional positions:
1 Sn 0.000 0.000 0.000
2 I 0.000 0.000 0.500
3 O 0.000 0.500 0.000
4 Hg 0.500 0.500 0.500
5 O 0.500 0.000 0.000

Properties
Density of states at the Fermi level (states/eV per atom): 0.3725
Relative energy among the computed polymorphs (kJ per mole of atoms): 0.00
Crystal system: tetragonal
Energy (eV per atom): -3.59

=====

[2]
A relaxed structure of Ca2TbHg2, computed with PBE-GGA.

Cell lengths 3.704, 3.793, 10.997 Å; angles 80.07, 90.00, 90.00 degrees
Fractional positions:
1 Hg 0.500 0.585 0.829
2 Hg 0.500 0.415 0.171
3 Tb 0.000 0.000 0.000
4 Ca 0.000 0.171 0.658
5 Ca 0.000 0.829 0.342

Properties
Formation enthalpy at 0 K (kJ/mol of formula units): -188
Density of states at the Fermi level (states/eV per atom): 0.8814
Crystal system: orthorhombic
Energy (eV per atom): -2.24

=====

[3]
A relaxed structure of RbMn2CrAg, computed with PBE-GGA.

Cell lengths 4.780, 5.445, 4.780 Å; angles 90.00, 90.00, 90.00 degrees
Fractional positions:
1 Cr 0.000 0.000 0.000
2 Rb 0.500 0.500 0.500
3 Mn 0.500 0.000 0.000
4 Mn 0.000 0.000 0.500
5 Ag 0.000 0.500 0.000

Properties
Formation enthalpy at 0 K (kJ/mol of formula units): 433
Density of states at the Fermi level (states/eV per atom): 0.3592
Crystal system: tetragonal
Energy (eV per atom): -5.46

=====

[4]
A relaxed structure of PrInTe2O8, computed with PBE-GGA.

Cell lengths 6.291, 6.291, 6.291 Å; angles 108.25, 108.25, 111.95 degrees
Fractional positions:
1 O 0.931 0.249 0.318
2 Te 0.500 0.500 0.000
3 O 0.931 0.613 0.682
4 O 0.300 0.101 0.800
5 O 0.300 0.500 0.200
6 O 0.387 0.069 0.318
7 O 0.500 0.700 0.800
8 In 0.250 0.750 0.500
9 Te 0.750 0.250 0.500
10 O 0.899 0.700 0.200
11 Pr 0.000 0.000 0.000
12 O 0.751 0.069 0.682

Properties
Density of states at the Fermi level (states/eV per atom): 0.0250
Crystal system: tetragonal
Energy (eV per atom): -5.88